VASP calculation (GGA-PBEsol) on a geometry-optimized ZrTi2 structure.

Cell and atoms, written as extended XYZ:
```
3
Lattice="2.976 0.000 0.000 0.000 4.648 0.000 0.000 -2.324 4.025" Properties=species:S:1:pos:R:3 pbc="T T T"
Ti 1.488 2.324 1.342
Ti 1.488 0.000 2.684
Zr 0.000 0.000 0.000
```

- ΔH_f (0 K) (eV per atom) = 0.038
- volume (Å³ per cell) = 55.69
- D(E_F) (states/eV/f.u.) = 3.079



VASP calculation (GGA-PBEsol) on a geometry-optimized TaMnOs2 structure.

Cell and atoms, written as extended XYZ:
```
4
Lattice="2.706 0.002 0.000 -0.503 4.874 0.000 -1.101 -2.438 4.387" Properties=species:S:1:pos:R:3 pbc="T T T"
Ta 1.353 0.001 0.000
Os 0.551 1.219 2.194
Mn -0.252 2.437 0.000
Os -0.551 -1.219 2.194
```

- ΔH_f (0 K) (eV per atom) = 0.147
- volume (Å³ per cell) = 57.87
- D(E_F) (states/eV/f.u.) = 3.699



VASP calculation (GGA-PBEsol) on a geometry-optimized CuAuSe structure.

Cell and atoms, written as extended XYZ:
```
3
Lattice="2.804 0.038 0.000 -0.678 2.721 0.000 -1.063 -1.380 6.477" Properties=species:S:1:pos:R:3 pbc="T T T"
Cu 0.000 0.000 4.295
Au 1.063 1.380 6.204
Se 1.063 1.380 2.454
```

- volume (Å³ per cell) = 49.58
- D(E_F) (states/eV/f.u.) = 1.010
- E_form (uncorrected) (meV per atom) = 168